VASP calculation (PBE) on an optimized crystal structure of AcDy15Er4.

The structure belongs to space group P4/mmm (No. 123); the cell edges are 5.027, 5.027 and 25.151 Å and the angles 90.00°, 90.00° and 90.00°. The asymmetric unit holds Ac at (0.000, 0.000, 0.000), Dy at (0.000, 0.500, 0.106), Dy at (0.000, 0.500, 0.303), Dy at (0.000, 0.500, 0.500), Dy at (0.500, 0.500, 0.000), Dy at (0.500, 0.500, 0.205), Dy at (0.500, 0.500, 0.401), Er at (0.000, 0.000, 0.203) and Er at (0.000, 0.000, 0.401).

The value obtained for the formation energy is 30 meV/atom. As for the total DFT energy (no corrections): -4.540 eV/atom.